[1]
This record from Alexandria via LeMat-Bulk describes an optimized crystal structure of Ca3TlHg2. The functional is GGA-PBE.

Raw total energy ... -12.108 eV per formula unit

Cell lengths 8.4360, 8.4360, 3.9111 Å; angles 90.00, 90.00, 143.01 degrees
Atoms (fractional coordinates):
Ca  0.0000  0.0000  0.0000
Ca  0.3303  0.6697  0.0000
Ca  0.6697  0.3303  0.0000
Tl  0.5000  0.5000  0.5000
Hg  0.1636  0.8364  0.5000
Hg  0.8364  0.1636  0.5000



[2]
This record from Alexandria via LeMat-Bulk describes an optimized crystal structure of BaGe2Pt3. The functional is GGA-PBE.

Raw total energy ... -33.171 eV per formula unit

Cell lengths 8.2418, 8.2418, 8.0424 Å; angles 112.87, 112.87, 29.88 degrees
Atoms (fractional coordinates):
Ba  0.1559  0.1559  0.0714
Ba  0.8441  0.8441  0.9286
Ge  0.1792  0.1792  0.6502
Ge  0.4813  0.4813  0.8126
Ge  0.5187  0.5187  0.1874
Ge  0.8208  0.8208  0.3498
Pt  0.0372  0.0372  0.3602
Pt  0.3174  0.3174  0.5748
Pt  0.4020  0.4020  0.3227
Pt  0.5980  0.5980  0.6773
Pt  0.6826  0.6826  0.4252
Pt  0.9628  0.9628  0.6398



[3]
This record from Alexandria via LeMat-Bulk describes an optimized crystal structure of Tb8Tm3Zr. The functional is GGA-PBE.

Raw total energy ... -58.538 eV per formula unit

Cell lengths 7.0226, 7.0226, 7.8271 Å; angles 103.11, 103.11, 89.71 degrees
Atoms (fractional coordinates):
Tb  0.1643  0.1643  0.6769
Tb  0.1637  0.6736  0.6737
Tb  0.3264  0.8363  0.3263
Tb  0.3265  0.3265  0.3270
Tb  0.6735  0.6735  0.6730
Tb  0.6736  0.1637  0.6737
Tb  0.8363  0.3264  0.3263
Tb  0.8357  0.8357  0.3231
Tm  0.0000  0.5000  0.0000
Tm  0.5000  0.0000  0.0000
Tm  0.5000  0.5000  0.0000
Zr  0.0000  0.0000  0.0000



[4]
This record from Alexandria via LeMat-Bulk describes an optimized crystal structure of Tc2AsBr. The functional is GGA-PBE.

Raw total energy ... -23.953 eV per formula unit
ΔE_f (raw) ... 0.78 eV/atom

Cell lengths 5.2434, 5.2434, 5.2434 Å; angles 146.85, 116.46, 73.57 degrees
Atoms (fractional coordinates):
Tc  0.2322  0.2322  0.0000
Tc  0.7678  0.7678  0.0000
As  0.0000  0.5000  0.5000
Br  0.5000  0.0000  0.5000



[5]
This record from Alexandria via LeMat-Bulk describes an optimized crystal structure of Na4S12Br. The functional is GGA-PBE.

Raw total energy ... -62.281 eV per formula unit
ΔE_f (raw) ... -0.34 eV/atom

Cell lengths 8.2562, 8.2562, 8.2562 Å; angles 109.47, 109.47, 109.47 degrees
Atoms (fractional coordinates):
Na  0.0000  0.0000  0.5000
Na  0.0000  0.5000  0.0000
Na  0.5000  0.0000  0.0000
Na  0.5000  0.5000  0.5000
S  0.1373  0.5358  0.3985
S  0.1373  0.7388  0.6015
S  0.2612  0.3985  0.8627
S  0.3985  0.1373  0.5358
S  0.3985  0.8627  0.2612
S  0.4642  0.6015  0.8627
S  0.5358  0.3985  0.1373
S  0.6015  0.1373  0.7388
S  0.6015  0.8627  0.4642
S  0.7388  0.6015  0.1373
S  0.8627  0.2612  0.3985
S  0.8627  0.4642  0.6015
Br  0.0000  0.0000  0.0000



[6]
This record from Alexandria via LeMat-Bulk describes an optimized crystal structure of LuHfZnAg. The functional is GGA-PBE.

Raw total energy ... -19.078 eV per formula unit

Cell lengths 4.8735, 4.8735, 4.8735 Å; angles 60.00, 60.00, 60.00 degrees
Atoms (fractional coordinates):
Lu  0.0000  0.0000  0.0000
Hf  0.5000  0.5000  0.5000
Zn  0.7500  0.7500  0.7500
Ag  0.2500  0.2500  0.2500



[7]
This record from Alexandria via LeMat-Bulk describes an optimized crystal structure of Pm2Ga3SbPd4. The functional is GGA-PBE.

Raw total energy ... -51.375 eV per formula unit
ΔE_f (raw) ... -0.79 eV/atom

Cell lengths 4.3220, 4.3220, 10.7557 Å; angles 90.00, 90.00, 90.00 degrees
Atoms (fractional coordinates):
Pm  0.0000  0.5000  0.2404
Pm  0.5000  0.0000  0.7596
Ga  0.0000  0.5000  0.8767
Ga  0.5000  0.0000  0.1233
Ga  0.5000  0.5000  0.5000
Sb  0.0000  0.0000  0.5000
Pd  0.0000  0.0000  0.0000
Pd  0.0000  0.5000  0.6466
Pd  0.5000  0.0000  0.3534
Pd  0.5000  0.5000  0.0000



[8]
This record from Alexandria via LeMat-Bulk describes an optimized crystal structure of In3Sn2Pb4. The functional is GGA-PBE.

Raw total energy ... -30.659 eV per formula unit

Cell lengths 9.4587, 9.4587, 6.7858 Å; angles 99.00, 99.00, 63.68 degrees
Atoms (fractional coordinates):
In  0.0128  0.9872  0.7500
In  0.3353  0.3389  0.1796
In  0.3389  0.3353  0.6796
In  0.6611  0.6647  0.3204
In  0.6647  0.6611  0.8204
In  0.9872  0.0128  0.2500
Sn  0.0037  0.6489  0.6549
Sn  0.3511  0.9963  0.8451
Sn  0.6489  0.0037  0.1549
Sn  0.9963  0.3511  0.3451
Pb  0.0109  0.3342  0.8430
Pb  0.3192  0.6781  0.4999
Pb  0.3219  0.6808  0.0001
Pb  0.3342  0.0109  0.3430
Pb  0.6658  0.9891  0.6570
Pb  0.6781  0.3192  0.9999
Pb  0.6808  0.3219  0.5001
Pb  0.9891  0.6658  0.1570



[9]
This record from Alexandria via LeMat-Bulk describes an optimized crystal structure of Pm3HgOs. The functional is GGA-PBE.

Raw total energy ... -25.798 eV per formula unit

Cell lengths 5.5021, 5.5021, 5.5021 Å; angles 90.00, 90.00, 90.00 degrees
Atoms (fractional coordinates):
Pm  0.0000  0.0000  0.5000
Pm  0.0000  0.5000  0.0000
Pm  0.5000  0.0000  0.0000
Hg  0.5000  0.5000  0.5000
Os  0.0000  0.0000  0.0000



[10]
This record from Alexandria via LeMat-Bulk describes an optimized crystal structure of K2Hf3TlO8. The functional is GGA-PBE.

Raw total energy ... -111.090 eV per formula unit
ΔE_f (raw) ... -2.64 eV/atom

Cell lengths 7.5019, 7.5019, 7.5019 Å; angles 51.56, 51.56, 51.56 degrees
Atoms (fractional coordinates):
K  0.0000  0.0000  0.0000
K  0.3668  0.3668  0.3668
Hf  0.3667  0.3667  0.8757
Hf  0.3667  0.8757  0.3667
Hf  0.8757  0.3667  0.3667
Tl  0.7657  0.7657  0.7657
O  0.1063  0.1063  0.5512
O  0.1063  0.5512  0.1063
O  0.1444  0.1444  0.1444
O  0.1797  0.6249  0.6249
O  0.5512  0.1063  0.1063
O  0.5865  0.5865  0.5865
O  0.6249  0.1797  0.6249
O  0.6249  0.6249  0.1797



[11]
This record from Alexandria via LeMat-Bulk describes an optimized crystal structure of Pm6Te12As. The functional is GGA-PBE.

Raw total energy ... -91.028 eV per formula unit
ΔE_f (raw) ... -1.06 eV/atom

Cell lengths 8.8640, 8.8640, 8.8640 Å; angles 98.74, 98.74, 98.74 degrees
Atoms (fractional coordinates):
Pm  0.1455  0.8137  0.6324
Pm  0.1863  0.3676  0.8545
Pm  0.3676  0.8545  0.1863
Pm  0.6324  0.1455  0.8137
Pm  0.8137  0.6324  0.1455
Pm  0.8545  0.1863  0.3676
Te  0.0694  0.9296  0.3156
Te  0.0704  0.6844  0.9306
Te  0.1704  0.4589  0.5120
Te  0.3156  0.0694  0.9296
Te  0.4589  0.5120  0.1704
Te  0.4880  0.8296  0.5411
Te  0.5120  0.1704  0.4589
Te  0.5411  0.4880  0.8296
Te  0.6844  0.9306  0.0704
Te  0.8296  0.5411  0.4880
Te  0.9296  0.3156  0.0694
Te  0.9306  0.0704  0.6844
As  0.5000  0.5000  0.5000



[12]
This record from Alexandria via LeMat-Bulk describes an optimized crystal structure of YMoOs2. The functional is GGA-PBE.

Raw total energy ... -37.870 eV per formula unit

Cell lengths 5.2952, 5.2952, 5.2952 Å; angles 136.37, 136.37, 63.41 degrees
Atoms (fractional coordinates):
Y  0.0000  0.0000  0.0000
Mo  0.2500  0.7500  0.5000
Os  0.5000  0.5000  0.0000
Os  0.7500  0.2500  0.5000